1.
Ir2OsPt at its PBEsol-relaxed geometry, computed with meta-GGA SCAN.

Cell: 9.031 2.719 4.706 Å, 90.00 99.90 90.00°
Space group Cm (No. 8)
Unique sites:
Ir 0.000 0.000 0.000 (multiplicity 2)
Ir 0.249 0.500 0.253 (multiplicity 2)
Os 0.494 0.000 0.489 (multiplicity 2)
Pt 0.246 0.000 0.746 (multiplicity 2)

Summary:
crystal system	monoclinic

2.
Ir2OsPt at its PBEsol-relaxed geometry, computed with meta-GGA SCAN.

Cell: 2.670 4.677 9.397 Å, 90.00 90.00 90.00°
Space group Cmmm (No. 65)
Unique sites:
Ir 0.000 0.000 0.244 (multiplicity 4)
Os 0.000 0.500 0.000 (multiplicity 2)
Pt 0.000 0.500 0.500 (multiplicity 2)

Summary:
crystal system	orthorhombic

It is 2 that is the least stable of them.

1.
Ir2OsRh at its PBEsol-relaxed geometry, computed with meta-GGA SCAN.

Cell: 8.959 2.691 4.669 Å, 90.00 99.87 90.00°
Space group C2/m (No. 12)
Unique sites:
Ir 0.248 0.000 0.247 (multiplicity 4)
Os 0.000 0.500 0.000 (multiplicity 2)
Rh 0.000 0.000 0.500 (multiplicity 2)

Summary:
crystal system	monoclinic

2.
Ir2OsRh at its PBEsol-relaxed geometry, computed with meta-GGA SCAN.

Cell: 2.696 3.812 5.395 Å, 90.00 90.00 90.00°
Space group Pmmm (No. 47)
Unique sites:
Ir 0.000 0.000 0.248 (multiplicity 2)
Os 0.500 0.500 0.000 (multiplicity 1)
Rh 0.500 0.500 0.500 (multiplicity 1)

Summary:
crystal system	orthorhombic

It is 1 that is the least stable of them.

1.
Ir2OsRh at its PBEsol-relaxed geometry, computed with meta-GGA SCAN.

Cell: 3.817 3.817 3.804 Å, 90.00 90.00 90.00°
Space group P4/mmm (No. 123)
Unique sites:
Ir 0.000 0.500 0.000 (multiplicity 2)
Os 0.000 0.000 0.500 (multiplicity 1)
Rh 0.500 0.500 0.500 (multiplicity 1)

Summary:
crystal system	tetragonal

2.
Ir2OsRh at its PBEsol-relaxed geometry, computed with meta-GGA SCAN.

Cell: 2.694 2.694 7.665 Å, 90.00 90.00 90.00°
Space group P4mm (No. 99)
Unique sites:
Ir 0.000 0.000 0.000 (multiplicity 1)
Ir 0.500 0.500 0.253 (multiplicity 1)
Os 0.000 0.000 0.500 (multiplicity 1)
Rh 0.500 0.500 0.747 (multiplicity 1)

Summary:
crystal system	tetragonal

3.
Ir2OsRh at its PBEsol-relaxed geometry, computed with meta-GGA SCAN.

Cell: 8.963 2.691 4.668 Å, 90.00 99.89 90.00°
Space group Cm (No. 8)
Unique sites:
Ir 0.000 0.000 0.000 (multiplicity 2)
Ir 0.250 0.000 0.745 (multiplicity 2)
Os 0.248 0.500 0.244 (multiplicity 2)
Rh 0.498 0.000 0.494 (multiplicity 2)

Summary:
crystal system	monoclinic

4.
Ir2OsRh at its PBEsol-relaxed geometry, computed with meta-GGA SCAN.

Cell: 2.6984 2.6984 26.4190 Å, 90.00 90.00 120.00°
Space group R-3m (No. 166, hexagonal axes)
Unique sites:
Ir 0.0000 0.0000 0.2492 (multiplicity 6)
Os 0.0000 0.0000 0.5000 (multiplicity 3)
Rh 0.0000 0.0000 0.0000 (multiplicity 3)

Summary:
crystal system	trigonal

It is 1 that is the least stable of them.

1.
Ir2OsRh at its PBEsol-relaxed geometry, computed with meta-GGA SCAN.

Cell: 3.806 3.806 7.653 Å, 90.00 90.00 90.00°
Space group I-4m2 (No. 119)
Unique sites:
Ir 0.000 0.000 0.000 (multiplicity 2)
Ir 0.000 0.500 0.250 (multiplicity 2)
Os 0.000 0.500 0.750 (multiplicity 2)
Rh 0.000 0.000 0.500 (multiplicity 2)

Summary:
crystal system	tetragonal

2.
Ir2OsRh at its PBEsol-relaxed geometry, computed with meta-GGA SCAN.

Cell: 3.810 3.810 7.631 Å, 90.00 90.00 90.00°
Space group I4/mmm (No. 139)
Unique sites:
Ir 0.000 0.500 0.250 (multiplicity 4)
Os 0.000 0.000 0.000 (multiplicity 2)
Rh 0.000 0.000 0.500 (multiplicity 2)

Summary:
crystal system	tetragonal

3.
Ir2OsRh at its PBEsol-relaxed geometry, computed with meta-GGA SCAN.

Cell: 2.692 3.824 5.388 Å, 90.00 90.00 90.00°
Space group Pmm2 (No. 25)
Unique sites:
Ir 0.000 0.000 0.000 (multiplicity 1)
Ir 0.500 0.500 0.256 (multiplicity 1)
Os 0.000 0.000 0.501 (multiplicity 1)
Rh 0.500 0.500 0.749 (multiplicity 1)

Summary:
crystal system	orthorhombic

It is 1 that is the least stable of them.

1.
IrOsRh2 at its PBEsol-relaxed geometry, computed with meta-GGA SCAN.

Cell: 2.6893 2.6893 26.3482 Å, 90.00 90.00 120.00°
Space group R3m (No. 160, hexagonal axes)
Unique sites:
Ir 0.0000 0.0000 0.0000 (multiplicity 3)
Os 0.0000 0.0000 0.2507 (multiplicity 3)
Rh 0.0000 0.0000 0.5017 (multiplicity 3)
Rh 0.0000 0.0000 0.7510 (multiplicity 3)

Summary:
crystal system	trigonal

2.
IrOsRh2 at its PBEsol-relaxed geometry, computed with meta-GGA SCAN.

Cell: 8.936 2.679 4.651 Å, 90.00 99.88 90.00°
Space group C2/m (No. 12)
Unique sites:
Ir 0.000 0.000 0.000 (multiplicity 2)
Os 0.000 0.500 0.500 (multiplicity 2)
Rh 0.249 0.000 0.747 (multiplicity 4)

Summary:
crystal system	monoclinic

3.
IrOsRh2 at its PBEsol-relaxed geometry, computed with meta-GGA SCAN.

Cell: 5.361 7.644 2.676 Å, 90.00 90.00 90.00°
Space group Cmmm (No. 65)
Unique sites:
Ir 0.000 0.000 0.000 (multiplicity 2)
Os 0.000 0.500 0.000 (multiplicity 2)
Rh 0.250 0.250 0.500 (multiplicity 4)

Summary:
crystal system	orthorhombic

It is 3 that is the least stable of them.

1.
IrOsRh2 at its PBEsol-relaxed geometry, computed with meta-GGA SCAN.

Cell: 2.690 2.690 7.618 Å, 90.00 90.00 90.00°
Space group P4mm (No. 99)
Unique sites:
Ir 0.000 0.000 0.000 (multiplicity 1)
Os 0.500 0.500 0.247 (multiplicity 1)
Rh 0.000 0.000 0.493 (multiplicity 1)
Rh 0.500 0.500 0.747 (multiplicity 1)

Summary:
crystal system	tetragonal

2.
IrOsRh2 at its PBEsol-relaxed geometry, computed with meta-GGA SCAN.

Cell: 2.677 3.822 5.361 Å, 90.00 90.00 90.00°
Space group Pmmm (No. 47)
Unique sites:
Ir 0.000 0.000 0.000 (multiplicity 1)
Os 0.000 0.000 0.500 (multiplicity 1)
Rh 0.500 0.500 0.253 (multiplicity 2)

Summary:
crystal system	orthorhombic

3.
IrOsRh2 at its PBEsol-relaxed geometry, computed with meta-GGA SCAN.

Cell: 2.6827 2.6827 26.4285 Å, 90.00 90.00 120.00°
Space group R-3m (No. 166, hexagonal axes)
Unique sites:
Ir 0.0000 0.0000 0.0000 (multiplicity 3)
Os 0.0000 0.0000 0.5000 (multiplicity 3)
Rh 0.0000 0.0000 0.2490 (multiplicity 6)

Summary:
crystal system	trigonal

4.
IrOsRh2 at its PBEsol-relaxed geometry, computed with meta-GGA SCAN.

Cell: 2.655 4.596 9.268 Å, 90.00 90.00 90.00°
Space group Cmmm (No. 65)
Unique sites:
Ir 0.000 0.000 0.000 (multiplicity 2)
Os 0.000 0.000 0.500 (multiplicity 2)
Rh 0.000 0.500 0.251 (multiplicity 4)

Summary:
crystal system	orthorhombic

It is 4 that is the least stable of them.